DFT (PBE) results for a relaxed structure of ThSc2Br.

Cell lengths 3.5228, 3.5228, 28.5831 Å; angles 90.00, 90.00, 120.00 degrees
With the nearest neighbours (Å) after each atom.
Space group R-3m (No. 166, hexagonal axes)
Inequivalent atoms, fractional coordinates:
Th 0.0000 0.0000 0.0000  6 Sc 3.31, 6 Th 3.52
Sc 0.0000 0.0000 0.2421  3 Br 2.96, 3 Th 3.31
Br 0.0000 0.0000 0.5000  6 Sc 2.96

As for the size of the total moment: 0.00 μB per formula unit. Its formation energy (no corrections) is -457 meV per atom. The density of states at the Fermi level is 15.38 states/eV/cell.

---

DFT (PBE) results for a relaxed structure of ScTiBr2.

Cell lengths 6.7216, 6.7216, 6.7216 Å; angles 90.00, 90.00, 90.00 degrees
With the nearest neighbours (Å) after each atom.
Space group Fm-3m (No. 225)
Inequivalent atoms, fractional coordinates:
Sc 0.0000 0.0000 0.0000  8 Br 2.91
Ti 0.0000 0.0000 0.5000  8 Br 2.91
Br 0.2500 0.2500 0.2500  4 Sc 2.91, 4 Ti 2.91

As for the size of the total moment: 0.50 μB per formula unit. Its formation energy (no corrections) is -296 meV per atom. The density of states at the Fermi level is 26.97 states/eV/cell.

---

DFT (PBE) results for a relaxed structure of ScTiBr3.

Cell lengths 5.3173, 5.3173, 5.3173 Å; angles 90.00, 90.00, 90.00 degrees
With the nearest neighbours (Å) after each atom.
Space group Pm-3m (No. 221)
Inequivalent atoms, fractional coordinates:
Sc 0.0000 0.0000 0.0000  6 Br 2.66
Ti 0.5000 0.5000 0.5000  12 Br 3.76
Br 0.0000 0.0000 0.5000  2 Sc 2.66

As for the size of the total moment: 3.97 μB per formula unit. Its formation energy (no corrections) is -425 meV per atom. The density of states at the Fermi level is 6.65 states/eV/cell.